[1]
PmHoMgMn: optimized geometry, PBE.

Summary:
The volume comes out at 101 Å³/f.u. For the formation energy, the calculation gives 0.11 eV per atom. As for the electronic total energy: -0.181 Ha/atom. The calculation puts the density of states at the Fermi level at 4.9 states/eV/cell. Its symmetry is F-43m (216).

abc: 5.233 5.233 5.233
angles: 60.00 60.00 60.00
Site moments in Bohr magnetons follow the coordinates.
Sites, in units of the cell vectors:
Mg 0.000 0.000 0.000  -0.01
Mn 0.500 0.500 0.500  3.67
Ho 0.750 0.750 0.750  -0.25
Pm 0.250 0.250 0.250  -0.18



[2]
PrHoMgMn: optimized geometry, PBE.

Summary:
The volume comes out at 104 Å³/f.u. For the formation energy, the calculation gives 0.12 eV per atom. As for the electronic total energy: -0.181 Ha/atom. The calculation puts the density of states at the Fermi level at 5.0 states/eV/cell. Its symmetry is F-43m (216).

abc: 5.275 5.275 5.275
angles: 60.00 60.00 60.00
Site moments in Bohr magnetons follow the coordinates.
Sites, in units of the cell vectors:
Pr 0.000 0.000 0.000  -0.17
Mg 0.250 0.250 0.250  -0.01
Mn 0.750 0.750 0.750  3.70
Ho 0.500 0.500 0.500  -0.27



[3]
HoMgScMn: optimized geometry, PBE.

Summary:
The volume comes out at 89 Å³/f.u. For the formation energy, the calculation gives 0.10 eV per atom. As for the electronic total energy: -0.195 Ha/atom. The calculation puts the density of states at the Fermi level at 5.3 states/eV/cell. Its symmetry is F-43m (216).

abc: 5.015 5.015 5.015
angles: 60.00 60.00 60.00
Site moments in Bohr magnetons follow the coordinates.
Sites, in units of the cell vectors:
Sc 0.000 0.000 0.000  -0.32
Mg 0.750 0.750 0.750  -0.02
Mn 0.250 0.250 0.250  3.48
Ho 0.500 0.500 0.500  -0.19



[4]
SmHoMgMn: optimized geometry, PBE.

Summary:
The volume comes out at 101 Å³/f.u. For the formation energy, the calculation gives 0.10 eV per atom. As for the electronic total energy: -0.180 Ha/atom. The calculation puts the density of states at the Fermi level at 4.9 states/eV/cell. Its symmetry is F-43m (216).

abc: 5.219 5.219 5.219
angles: 60.00 60.00 60.00
Site moments in Bohr magnetons follow the coordinates.
Sites, in units of the cell vectors:
Mg 0.750 0.750 0.750  -0.01
Mn 0.250 0.250 0.250  3.65
Ho 0.500 0.500 0.500  -0.25
Sm 0.000 0.000 0.000  -0.18



[5]
HoThMgMn: optimized geometry, PBE.

Summary:
The volume comes out at 99 Å³/f.u. For the formation energy, the calculation gives 0.15 eV per atom. As for the electronic total energy: -0.204 Ha/atom. The calculation puts the density of states at the Fermi level at 3.8 states/eV/cell. Its symmetry is F-43m (216).

abc: 5.195 5.195 5.195
angles: 60.00 60.00 60.00
Site moments in Bohr magnetons follow the coordinates.
Sites, in units of the cell vectors:
Mg 0.750 0.750 0.750  0.00
Mn 0.250 0.250 0.250  3.28
Ho 0.000 0.000 0.000  -0.34
Th 0.500 0.500 0.500  -0.27



[6]
HoTmMgMn: optimized geometry, PBE.

Summary:
The volume comes out at 96 Å³/f.u. For the formation energy, the calculation gives 0.09 eV per atom. As for the electronic total energy: -0.179 Ha/atom. The calculation puts the density of states at the Fermi level at 4.9 states/eV/cell. Its symmetry is F-43m (216).

abc: 5.132 5.132 5.132
angles: 60.00 60.00 60.00
Site moments in Bohr magnetons follow the coordinates.
Sites, in units of the cell vectors:
Mg 0.750 0.750 0.750  -0.01
Tm 0.500 0.500 0.500  -0.22
Ho 0.000 0.000 0.000  -0.21
Mn 0.250 0.250 0.250  3.57